# PBE-GGA Tb4Pr2In, relaxed
data_Tb4Pr2In
_chemical_formula_sum 'Tb8 Pr4 In2'
_symmetry_space_group_name_H-M 'P 1 21/c 1'
_symmetry_Int_Tables_number 14
_symmetry_space_group_name_Hall '-P 2ybc'
_cell_length_a 6.328
_cell_length_b 10.820
_cell_length_c 6.559
_cell_angle_alpha 90.00
_cell_angle_beta 90.07
_cell_angle_gamma 90.00
loop_
_atom_site_label
_atom_site_type_symbol
_atom_site_fract_x
_atom_site_fract_y
_atom_site_fract_z
Tb1 Tb 0.069 0.154 0.499
Tb2 Tb 0.396 0.750 0.250
Pr1 Pr 0.244 0.044 0.999
In1 In 0.500 0.000 0.500
# Calculated formation energy: -54 meV per atom
# ΔE to the lowest computed polymorph: 11.8 meV/atom
# Energy: -4.46 eV/atom